Compound: BaZr2Pb
Source: the Alexandria database
Functional: PBE
Structure: relaxed

Properties
SG   Cmmm
Crystal system   orthorhombic
Formation enthalpy at 0 K   0.341 eV/atom
DOS(E_F)   1.23 states/eV per atom
Energy   -5.341 eV per atom

Geometry as extended XYZ:
```
4
Lattice="2.214 -2.537 0.000 2.214 2.537 0.000 0.000 0.000 10.352" Properties=species:S:1:pos:R:3 pbc="T T T"
Ba 0.000 0.000 0.000
Zr 2.214 0.000 3.076
Zr 2.214 0.000 7.276
Pb 0.000 0.000 5.176
```